Record 1
# Tb4Er2Sc3 GGA-PBE optimized geometry
data_Tb4Er2Sc3
_cell_length_a 15.4569
_cell_length_b 11.2777
_cell_length_c 6.0226
_cell_angle_alpha 90.00
_cell_angle_beta 95.05
_cell_angle_gamma 90.00
_space_group_name_H-M_alt 'C 1 2/c 1'
_space_group_IT_number 15
loop_
_space_group_symop_operation_xyz
'x,y,z'
'-x,-y,-z'
'-x,y,-z+1/2'
'x,-y,z+1/2'
'x+1/2,y+1/2,z'
'-x+1/2,-y+1/2,-z'
'-x+1/2,y+1/2,-z+1/2'
'x+1/2,-y+1/2,z+1/2'
loop_
_atom_site_label
_atom_site_fract_x
_atom_site_fract_y
_atom_site_fract_z
Tb1 0.0487 0.1423 0.0100
Tb2 0.2156 0.3577 0.8429
Er1 0.1175 0.3601 0.3235
Sc1 0.0000 0.4014 0.7500
Sc2 0.1670 0.0999 0.5822
# Final energy: -182.6 eV for the cell shown


Record 2
# Ti4PS GGA-PBE optimized geometry
data_Ti4PS
_cell_length_a 5.7799
_cell_length_b 5.8251
_cell_length_c 5.8285
_cell_angle_alpha 90.00
_cell_angle_beta 93.16
_cell_angle_gamma 90.00
_space_group_name_H-M_alt 'P 1 21/c 1'
_space_group_IT_number 14
loop_
_space_group_symop_operation_xyz
'x,y,z'
'-x,-y,-z'
'-x,y+1/2,-z+1/2'
'x,-y+1/2,z+1/2'
loop_
_atom_site_label
_atom_site_fract_x
_atom_site_fract_y
_atom_site_fract_z
Ti1 0.1397 0.1431 0.3690
Ti2 0.3537 0.6466 0.3443
P1 0.0000 0.0000 0.0000
S1 0.5000 0.0000 0.5000
# E_form (uncorrected): -0.78 eV per atom


Record 3
# AgRhSe2 GGA-PBE optimized geometry
data_AgRhSe2
_cell_length_a 3.7091
_cell_length_b 3.7091
_cell_length_c 7.1523
_cell_angle_alpha 90.00
_cell_angle_beta 90.00
_cell_angle_gamma 120.00
_space_group_name_H-M_alt 'P 3 m 1'
_space_group_IT_number 156
loop_
_space_group_symop_operation_xyz
'x,y,z'
'-y,x-y,z'
'-x+y,-x,z'
'-y,-x,z'
'-x+y,y,z'
'x,x-y,z'
loop_
_atom_site_label
_atom_site_fract_x
_atom_site_fract_y
_atom_site_fract_z
Ag1 0.0000 0.0000 0.0000
Rh1 0.6667 0.3333 0.5339
Se1 0.0000 0.0000 0.3595
Se2 0.3333 0.6667 0.7301
# E_form (uncorrected): -0.23 eV per atom


Record 4
# Cs3TiI8 GGA-PBE optimized geometry
data_Cs3TiI8
_cell_length_a 8.5910
_cell_length_b 8.5910
_cell_length_c 16.8826
_cell_angle_alpha 90.00
_cell_angle_beta 90.00
_cell_angle_gamma 90.00
_space_group_name_H-M_alt 'I 4/m m m'
_space_group_IT_number 139
_space_group_name_Hall '-I 4 2'
loop_
_atom_site_label
_atom_site_fract_x
_atom_site_fract_y
_atom_site_fract_z
Cs1 0.0000 0.0000 0.0000
Cs2 0.0000 0.5000 0.2500
Ti1 0.0000 0.0000 0.5000
I1 0.2077 0.2077 0.3943
# E_form (uncorrected): -0.78 eV per atom


| no. | density of states at the Fermi level (states/eV per atom) |
| --- | --- |
| 1 | 1.420 |
| 2 | 1.047 |
| 3 | 0.000 |
| 4 | 1.206 |